A plane-wave DFT calculation with GGA-PBE was carried out for TbAgGe2Pt5 after structural relaxation.

Cell lengths 4.1491, 4.1491, 9.3279 Å; angles 90.00, 90.00, 90.00 degrees
Element x y z (fractional)
Tb  0.0000  0.0000  0.5000
Ag  0.0000  0.0000  0.0000
Ge  0.5000  0.5000  0.1298
Ge  0.5000  0.5000  0.8702
Pt  0.0000  0.5000  0.2742
Pt  0.5000  0.0000  0.2742
Pt  0.0000  0.5000  0.7258
Pt  0.5000  0.0000  0.7258
Pt  0.5000  0.5000  0.5000

## Properties
For the density of states at the Fermi level, the calculation gives 0.288 states/eV/atom. The value obtained for the formation energy is -58.63 kJ per mole of atoms.

A plane-wave DFT calculation with GGA-PBE was carried out for ThAgGe2Pt5 after structural relaxation.

Cell lengths 4.4804, 4.4804, 8.1438 Å; angles 90.00, 90.00, 90.00 degrees
Element x y z (fractional)
Th  0.0000  0.0000  0.0000
Ag  0.0000  0.0000  0.5000
Ge  0.5000  0.5000  0.1536
Ge  0.5000  0.5000  0.8464
Pt  0.0000  0.5000  0.2796
Pt  0.5000  0.0000  0.2796
Pt  0.0000  0.5000  0.7204
Pt  0.5000  0.0000  0.7204
Pt  0.5000  0.5000  0.5000

## Properties
For the density of states at the Fermi level, the calculation gives 0.505 states/eV/atom. The value obtained for the formation energy is -52.14 kJ per mole of atoms.